Record 1
DFT (PBE) results for AcSiPIr3 after structural relaxation.

Geometry as extended XYZ:
```
12
Lattice="-5.7084 -1.0328 0.2079 0.6900 -4.5304 -3.5614 0.6328 -2.0069 7.4046" Properties=species:S:1:pos:R:3 pbc="T T T"
Ac -3.7418 -3.1315 3.2586
Ac -0.6438 -4.4385 0.7925
Si -1.2521 -1.0226 1.0583
Si -3.1335 -6.5474 2.9928
P -0.6103 -3.8269 4.7499
P -3.7753 -3.7432 -0.6988
Ir -0.9262 -2.4468 2.9331
Ir 0.1742 -1.1438 -0.8991
Ir -2.3384 -3.9030 -2.5583
Ir -2.6800 -1.6602 -0.7952
Ir 0.5158 -3.3866 -2.6622
Ir -3.4594 -5.1233 1.1180
```

Its formation energy (no corrections) is -0.7974 eV/atom. As for the symmetry: Cmcm (63).



Record 2
DFT (PBE) results for Ac8Te3PIr3 after structural relaxation.

Geometry as extended XYZ:
```
15
Lattice="-4.5681 -5.3440 5.5132 -0.3377 -1.3487 -8.8262 7.9180 -2.0812 4.5433" Properties=species:S:1:pos:R:3 pbc="T T T"
Ac 0.9127 -2.7184 -1.8788
Ac 2.0995 -6.0555 3.1090
Ac -1.3352 -5.3691 0.9284
Ac 4.3474 -3.4048 0.3019
Ac -1.1713 -4.7114 5.2331
Ac 4.1834 -4.0625 -4.0029
Ac 1.0572 -2.1045 2.5437
Ac 1.9550 -6.6694 -1.3134
Te 0.0000 0.0000 0.0000
Te -0.1689 -0.6743 -4.4131
Te -2.4529 -3.3463 -1.6565
P 3.9590 -1.0406 2.2717
Ir 1.6750 -3.7126 5.0283
Ir 1.5061 -4.3869 0.6151
Ir 3.7901 -1.7150 -2.1414
```

Its formation energy (no corrections) is -1.0560 eV/atom. As for the symmetry: R-3m (166).



Record 3
DFT (PBE) results for Ac8Te4P3Ir after structural relaxation.

Geometry as extended XYZ:
```
16
Lattice="9.0483 0.0000 0.0000 0.0000 9.3233 0.1859 -4.5241 -4.5192 6.4032" Properties=species:S:1:pos:R:3 pbc="T T T"
Ac -2.3068 2.2350 6.4060
Ac 0.0000 4.5388 3.1434
Ac 0.0000 0.2746 3.3921
Ac 2.3068 2.2350 6.4060
Ac 2.2174 2.5691 0.1831
Ac 4.5241 4.5295 3.1970
Ac 4.5241 0.2653 3.4458
Ac 6.8309 2.5691 0.1831
Te 4.5241 0.0000 0.0000
Te 2.2621 -2.2596 3.2016
Te 0.0000 0.0000 0.0000
Te -2.2621 -2.2596 3.2016
P 4.5241 4.6617 0.0930
P 2.2621 2.4020 3.2946
P -2.2621 2.4020 3.2946
Ir 0.0000 4.6617 0.0930
```

Its formation energy (no corrections) is -1.4266 eV/atom. As for the symmetry: R-3m (166).



Record 4
DFT (PBE) results for Ac4Te2PIr after structural relaxation.

Geometry as extended XYZ:
```
8
Lattice="4.4676 0.0000 0.0000 0.0000 7.8632 0.2181 0.0000 -2.6759 7.7474" Properties=species:S:1:pos:R:3 pbc="T T T"
Ac 2.2338 1.3858 1.6977
Ac 2.2338 3.8014 6.2678
Ac 0.0000 0.0009 6.1713
Ac 0.0000 5.1864 1.7942
Te 2.2338 -1.3380 3.8737
Te 0.0000 2.5936 3.9828
P 0.0000 0.0000 0.0000
Ir 2.2338 3.9316 0.1090
```

Its formation energy (no corrections) is -1.3098 eV/atom. As for the symmetry: P2/m (10).



Record 5
DFT (PBE) results for Ac6Te3PIr2 after structural relaxation.

Geometry as extended XYZ:
```
12
Lattice="7.7659 0.0018 -0.0084 -3.8795 6.7274 -0.0084 -1.3047 -2.2591 7.8691" Properties=species:S:1:pos:R:3 pbc="T T T"
Ac 3.9199 2.1800 6.1930
Ac 2.5532 4.4209 1.6400
Ac -1.3382 2.2901 1.6593
Ac -0.0708 4.4847 6.1930
Ac 0.0284 0.0492 6.2123
Ac 2.6524 -0.0146 1.6593
Te -2.6366 4.5033 3.9262
Te 5.2183 -0.0332 3.9262
Te 1.2908 2.2350 3.9262
P 0.0000 0.0000 0.0000
Ir -0.0043 4.4894 -0.0084
Ir 3.8907 2.2398 -0.0084
```

Its formation energy (no corrections) is -1.2412 eV/atom. As for the symmetry: C2/m (12).



Record 6
DFT (PBE) results for AcVPIr6 after structural relaxation.

Geometry as extended XYZ:
```
18
Lattice="-3.0102 4.6055 2.3454 1.6385 -3.3579 8.6966 5.6437 2.4817 -5.2560" Properties=species:S:1:pos:R:3 pbc="T T T"
Ac 2.1212 3.4782 3.5188
Ac 2.1508 0.2512 2.2672
V 1.3168 3.5436 -1.4553
V 2.8219 1.2408 -2.6280
P -0.6859 0.6238 5.5210
P -1.5051 2.3028 1.1727
Ir 4.7159 1.8579 2.4043
Ir 2.1729 5.7026 -0.7830
Ir -1.0098 4.4282 1.6511
Ir 1.4739 0.1615 5.1845
Ir 0.5755 2.0027 0.4159
Ir -0.1114 2.5870 6.4197
Ir -0.4439 1.8714 3.3817
Ir 2.0991 -1.9733 6.5690
Ir 5.2818 -0.6988 4.1349
Ir 2.7981 3.5679 0.6015
Ir 3.6965 1.7266 5.3701
Ir 4.3834 1.1424 -0.6337
```

As for the symmetry: Imma (74).



Record 7
DFT (PBE) results for AcZnPIr6 after structural relaxation.

Geometry as extended XYZ:
```
18
Lattice="6.0281 0.0000 0.0000 0.0000 9.3524 0.0000 -3.0141 -4.6762 5.8433" Properties=species:S:1:pos:R:3 pbc="T T T"
Ac 3.0141 2.3381 3.7624
Ac 0.0000 2.3381 2.0808
Zn 1.5070 -2.3381 2.9216
Zn -1.5070 -2.3381 2.9216
P 3.0141 4.6762 0.0000
P 3.0141 0.0000 0.0000
Ir 0.0000 2.3381 5.1094
Ir 3.0141 -2.3381 4.8895
Ir 4.6304 -0.1935 1.5356
Ir 1.3978 4.8697 1.5356
Ir 1.3978 -0.1935 1.5356
Ir 4.6304 4.8697 1.5356
Ir 3.0141 2.3381 0.7339
Ir 0.0000 7.0143 0.9537
Ir -1.6163 4.8697 4.3076
Ir 1.6163 -0.1935 4.3076
Ir 1.6163 4.8697 4.3076
Ir -1.6163 -0.1935 4.3076
```

As for the symmetry: Imma (74).



Record 8
DFT (PBE) results for Ac2ZnP3Ir4 after structural relaxation.

Geometry as extended XYZ:
```
10
Lattice="4.2344 0.0000 0.0000 0.0000 4.2344 0.0000 0.0000 0.0000 10.1598" Properties=species:S:1:pos:R:3 pbc="T T T"
Ac 2.1172 0.0000 2.5957
Ac 0.0000 2.1172 7.5641
Zn 2.1172 2.1172 5.0799
P 0.0000 0.0000 5.0799
P 2.1172 0.0000 8.8090
P 0.0000 2.1172 1.3508
Ir 2.1172 2.1172 0.0000
Ir 0.0000 0.0000 0.0000
Ir 2.1172 0.0000 6.4310
Ir 0.0000 2.1172 3.7289
```

As for the symmetry: P-4m2 (115).



Record 9
DFT (PBE) results for AcPaIr after structural relaxation.

Geometry as extended XYZ:
```
3
Lattice="3.6731 0.0000 0.0000 0.0000 3.6731 0.0000 -1.8365 -1.8365 6.0722" Properties=species:S:1:pos:R:3 pbc="T T T"
Ac 1.8365 1.8365 6.0386
Pa 1.8365 1.8365 2.5324
Ir 0.0000 0.0000 3.5735
```

As for the energy above the most stable polymorph in this dataset: 12.4 kJ/mol of atoms. As for the symmetry: I4mm (107).



Record 10
DFT (PBE) results for Ac3Pa2Ir4 after structural relaxation.

Geometry as extended XYZ:
```
9
Lattice="3.9881 0.0000 0.0000 -1.9941 6.8652 -1.4116 0.0000 -0.6884 9.3016" Properties=species:S:1:pos:R:3 pbc="T T T"
Ac 0.0000 5.0047 4.4438
Ac 0.0000 0.0000 0.0000
Ac 1.9941 1.1721 3.4462
Pa 0.0000 4.1424 0.7775
Pa 1.9941 2.0344 7.1126
Ir 1.9941 2.2644 0.5549
Ir 0.0000 0.4695 6.0396
Ir 1.9941 5.7072 1.8504
Ir 0.0000 3.9123 7.3352
```

As for the symmetry: C2/m (12).



Across the entries above, electronic total energy takes the values -7.72, -6.01, -5.83, -5.93, -6.01, -7.90, -6.98, -6.91, -7.88, -8.12 eV/atom, respectively.